Entry from the Alexandria database: a relaxed structure of SrAl3Rh (PBE-GGA).

Results
Magnetization = 0.000 μB/atom
Energy of formation from the pure elements = -0.471 eV per atom
ρ = 4.210 g/cm³

Cell lengths 6.4553, 6.4541, 7.0128 Å; angles 62.56, 62.53, 59.97 degrees
Element x y z (fractional)
Al 0.4422 0.1243 0.3531
Al 0.5889 0.2800 0.8944
Al 0.9987 0.1244 0.3530
Al 0.1530 0.7160 0.8940
Al 0.9982 0.5689 0.3528
Al 0.1537 0.2810 0.8941
Rh 0.0461 0.1732 0.6525
Rh 0.8800 0.0068 0.1515
Sr 0.4575 0.5832 0.4201
Sr 0.6647 0.7918 0.7953

Entry from the Alexandria database: a relaxed structure of SrAlRh2 (PBE-GGA).

Results
Magnetization = 0.000 μB/atom
Energy of formation from the pure elements = -0.068 eV per atom
ρ = 7.213 g/cm³

Cell lengths 5.4972, 5.4972, 5.4972 Å; angles 137.93, 137.93, 61.01 degrees
Element x y z (fractional)
Rh 0.2500 0.7500 0.5000
Rh 0.0000 0.0000 0.0000
Sr 0.5000 0.5000 0.0000
Al 0.7500 0.2500 0.5000

Entry from the Alexandria database: a relaxed structure of SrAlRh2 (PBE-GGA).

Results
Magnetization = 0.000 μB/atom
Energy of formation from the pure elements = -0.253 eV per atom
ρ = 6.599 g/cm³

Cell lengths 4.1036, 3.1840, 6.2862 Å; angles 79.02, 90.00, 90.00 degrees
Element x y z (fractional)
Sr 0.0000 0.5112 0.4570
Rh 0.5000 0.0953 0.2160
Rh 0.0000 0.1837 0.9285
Al 0.5000 0.7098 0.8986

Entry from the Alexandria database: a relaxed structure of Sr2Al3Rh (PBE-GGA).

Results
Magnetization = 0.000 μB/atom
Energy of formation from the pure elements = -0.368 eV per atom
ρ = 4.531 g/cm³

Cell lengths 5.7071, 5.7071, 5.7108 Å; angles 90.04, 119.81, 120.12 degrees
Element x y z (fractional)
Al 0.5000 0.5000 0.5000
Al 0.0000 0.0000 0.5000
Al 0.5000 0.0000 0.5000
Sr 0.2537 0.6268 0.8805
Sr 0.7463 0.3732 0.1195
Rh 0.0000 0.0000 0.0000